No. 1
# VSiI2O, optimized geometry, DFT PBE+U
data_VSiI2O
_chemical_formula_sum 'V1 Si1 I2 O1'
_cell_length_a 5.739
_cell_length_b 5.739
_cell_length_c 3.560
_cell_angle_alpha 90.00
_cell_angle_beta 90.00
_cell_angle_gamma 90.00
_space_group_name_H-M_alt 'P 4/m m m'
_space_group_IT_number 123
_space_group_name_Hall '-P 4 2'
loop_
_atom_site_label
_atom_site_fract_x
_atom_site_fract_y
_atom_site_fract_z
V1 0.000 0.000 0.000
Si1 0.500 0.500 0.500
I1 0.000 0.500 0.500
O1 0.500 0.500 0.000
# Crystal system: tetragonal
# Calculated volume in Å³/cell: 117
# E in eV/atom: -4.29
# DOS at the Fermi energy in states/eV/atom: 0.297



No. 2
# VSiI2O, optimized geometry, DFT PBE+U
data_VSiI2O
_chemical_formula_sum 'V1 Si1 I2 O1'
_cell_length_a 5.693
_cell_length_b 5.693
_cell_length_c 3.715
_cell_angle_alpha 90.00
_cell_angle_beta 90.00
_cell_angle_gamma 90.00
_space_group_name_H-M_alt 'P 4/m m m'
_space_group_IT_number 123
_space_group_name_Hall '-P 4 2'
loop_
_atom_site_label
_atom_site_fract_x
_atom_site_fract_y
_atom_site_fract_z
V1 0.000 0.000 0.000
Si1 0.500 0.500 0.500
I1 0.000 0.500 0.000
O1 0.000 0.000 0.500
# Crystal system: tetragonal
# Calculated volume in Å³/cell: 120
# E in eV/atom: -4.33
# DOS at the Fermi energy in states/eV/atom: 0.564